AcLaSbTe (PBE, relaxed); crystal system = cubic; uncorrected formation energy = -1.23 eV/atom; total DFT energy (no corrections) = -5.303 eV per atom; offset from the most stable computed form = 0.82 eV per formula unit
1.0
0.000 4.020 4.020
4.020 0.000 4.020
4.020 4.020 0.000
Ac La Sb Te
1 1 1 1
direct
0.000 0.000 0.000 Ac
0.500 0.500 0.500 La
0.250 0.250 0.250 Sb
0.750 0.750 0.750 Te